Entry 1:
SrBeZn2B after structural relaxation, computed with PBEsol.

Output
As for the space group: No. 123. The calculation puts the total energy at -2.6028 eV per atom.

Unit cell a=4.138 b=4.138 c=5.471 alpha=90.00 beta=90.00 gamma=90.00
Positions (direct):
Sr: 0.000 0.000 0.000
Be: 0.500 0.500 0.000
Zn: 0.000 0.500 0.500
Zn: 0.500 0.000 0.500
B: 0.000 0.000 0.500

---

Entry 2:
GaHI2O after structural relaxation, computed with PBEsol.

Output
As for the space group: No. 123. The calculation puts the total energy at -3.0534 eV per atom.

Unit cell a=5.971 b=5.971 c=3.412 alpha=90.00 beta=90.00 gamma=90.00
Positions (direct):
Ga: 0.000 0.000 0.000
H: 0.500 0.500 0.500
I: 0.000 0.500 0.000
I: 0.500 0.000 0.000
O: 0.000 0.000 0.500

---

Entry 3:
Ca4P5Pd5 after structural relaxation, computed with PBEsol.

Output
As for the space group: No. 63. The calculation puts the total energy at -5.8175 eV per atom.

Unit cell a=15.601 b=15.601 c=8.105 alpha=90.00 beta=90.00 gamma=165.10
Positions (direct):
Ca: 0.079 0.921 0.502
Ca: 0.079 0.921 0.998
Ca: 0.306 0.694 0.006
Ca: 0.306 0.694 0.494
Ca: 0.694 0.306 0.506
Ca: 0.694 0.306 0.994
Ca: 0.921 0.079 0.002
Ca: 0.921 0.079 0.498
P: 0.158 0.842 0.250
P: 0.158 0.842 0.750
P: 0.229 0.771 0.250
P: 0.454 0.546 0.750
P: 0.455 0.545 0.250
P: 0.545 0.455 0.750
P: 0.546 0.454 0.250
P: 0.771 0.229 0.750
P: 0.842 0.158 0.250
P: 0.842 0.158 0.750
Pd: 0.000 0.000 0.250
Pd: 0.000 0.000 0.750
Pd: 0.235 0.765 0.750
Pd: 0.379 0.621 0.750
Pd: 0.381 0.619 0.250
Pd: 0.500 0.500 0.000
Pd: 0.500 0.500 0.500
Pd: 0.619 0.381 0.750
Pd: 0.621 0.379 0.250
Pd: 0.765 0.235 0.250

---

Entry 4:
TcAsRh after structural relaxation, computed with PBEsol.

Output
As for the space group: No. 216. The calculation puts the total energy at -8.0914 eV per atom. The energy above the most stable polymorph in this dataset comes out at 0.31 eV/f.u.

Unit cell a=4.112 b=4.112 c=4.112 alpha=60.00 beta=60.00 gamma=60.00
Positions (direct):
Tc: 0.000 0.000 0.000
As: 0.750 0.750 0.750
Rh: 0.250 0.250 0.250

---

Entry 5:
Li2TaIr after structural relaxation, computed with PBEsol.

Output
As for the space group: No. 65. The calculation puts the total energy at -6.3813 eV per atom.

Unit cell a=5.167 b=5.167 c=2.647 alpha=90.00 beta=90.00 gamma=122.07
Positions (direct):
Li: 0.000 0.500 0.000
Li: 0.500 0.000 0.000
Ta: 0.000 0.000 0.500
Ir: 0.500 0.500 0.500

---

Entry 6:
PdRuSN2 after structural relaxation, computed with PBEsol.

Output
As for the space group: No. 123. The calculation puts the total energy at -5.7698 eV per atom. The value obtained for the uncorrected formation energy is 1.74 eV per atom.

Unit cell a=3.716 b=3.716 c=4.937 alpha=90.00 beta=90.00 gamma=90.00
Positions (direct):
Pd: 0.000 0.000 0.000
Ru: 0.500 0.500 0.500
S: 0.000 0.000 0.500
N: 0.000 0.500 0.000
N: 0.500 0.000 0.000

---

Entry 7:
MgCdP2 after structural relaxation, computed with PBEsol.

Output
As for the space group: No. 10. The calculation puts the total energy at -3.6629 eV per atom. The energy above the most stable polymorph in this dataset comes out at 0.00 eV/f.u.

Unit cell a=4.041 b=3.628 c=5.590 alpha=90.00 beta=105.36 gamma=90.00
Positions (direct):
Mg: 0.000 0.000 0.000
Cd: 0.500 0.000 0.500
P: 0.329 0.500 0.811
P: 0.671 0.500 0.189

---

Entry 8:
KLiHg2 after structural relaxation, computed with PBEsol.

Output
As for the space group: No. 123. The calculation puts the total energy at -1.3294 eV per atom. The energy above the most stable polymorph in this dataset comes out at 0.00 eV/f.u.

Unit cell a=3.561 b=3.561 c=7.937 alpha=90.00 beta=90.00 gamma=90.00
Positions (direct):
K: 0.000 0.000 0.000
Li: 0.000 0.000 0.500
Hg: 0.500 0.500 0.316
Hg: 0.500 0.500 0.684

---

Entry 9:
Sm3HfSb5 after structural relaxation, computed with PBEsol.

Output
As for the space group: No. 193. The calculation puts the total energy at -6.3580 eV per atom. The value obtained for the uncorrected formation energy is -0.96 eV per atom.

Unit cell a=9.295 b=9.295 c=6.189 alpha=90.00 beta=90.00 gamma=120.00
Positions (direct):
Sm: 0.000 0.382 0.250
Sm: 0.000 0.618 0.750
Sm: 0.382 0.000 0.250
Sm: 0.382 0.382 0.750
Sm: 0.618 0.000 0.750
Sm: 0.618 0.618 0.250
Hf: 0.000 0.000 0.000
Hf: 0.000 0.000 0.500
Sb: 0.000 0.266 0.750
Sb: 0.000 0.734 0.250
Sb: 0.266 0.000 0.750
Sb: 0.266 0.266 0.250
Sb: 0.333 0.667 0.000
Sb: 0.333 0.667 0.500
Sb: 0.667 0.333 0.000
Sb: 0.667 0.333 0.500
Sb: 0.734 0.000 0.250
Sb: 0.734 0.734 0.750

---

Entry 10:
Dy2CdS4 after structural relaxation, computed with PBEsol.

Output
As for the space group: No. 227. The calculation puts the total energy at -5.7704 eV per atom. The value obtained for the uncorrected formation energy is -1.67 eV per atom.

Unit cell a=7.868 b=7.868 c=7.868 alpha=60.00 beta=60.00 gamma=60.00
Positions (direct):
Dy: 0.000 0.000 0.000
Dy: 0.000 0.000 0.500
Dy: 0.000 0.500 0.000
Dy: 0.500 0.000 0.000
Cd: 0.375 0.375 0.375
Cd: 0.625 0.625 0.625
S: 0.229 0.757 0.757
S: 0.243 0.243 0.243
S: 0.243 0.243 0.771
S: 0.243 0.771 0.243
S: 0.757 0.229 0.757
S: 0.757 0.757 0.229
S: 0.757 0.757 0.757
S: 0.771 0.243 0.243

---

Entry 11:
KBiPt3 after structural relaxation, computed with PBEsol.

Output
As for the space group: No. 221. The calculation puts the total energy at -3.4084 eV per atom.

Unit cell a=4.863 b=4.863 c=4.863 alpha=90.00 beta=90.00 gamma=90.00
Positions (direct):
K: 0.000 0.000 0.000
Bi: 0.500 0.500 0.500
Pt: 0.000 0.000 0.500
Pt: 0.000 0.500 0.000
Pt: 0.500 0.000 0.000

---

Entry 12:
ZnCdSbI2 after structural relaxation, computed with PBEsol.

Output
As for the space group: No. 123. The calculation puts the total energy at -1.7112 eV per atom. The value obtained for the uncorrected formation energy is 0.46 eV per atom.

Unit cell a=5.731 b=5.731 c=5.620 alpha=90.00 beta=90.00 gamma=90.00
Positions (direct):
Zn: 0.000 0.000 0.000
Cd: 0.500 0.500 0.500
Sb: 0.500 0.500 0.000
I: 0.000 0.500 0.500
I: 0.500 0.000 0.500